Density functional theory data (PBE+U) for a relaxed structure of TbFeP2O8.

Unit cell a=5.1250 b=5.1250 c=6.5532 alpha=90.00 beta=90.00 gamma=120.00
With the nearest neighbours (Å) after each atom.
Sites, in units of the cell vectors:
O: 0.6667 0.3333 0.5127  1 P 1.53
O: 0.8321 0.6643 0.2042  1 P 1.55
O: 0.3333 0.6667 0.4873  1 P 1.53
O: 0.6643 0.8321 0.7958  1 P 1.55
O: 0.1679 0.3357 0.7958  1 P 1.55
O: 0.8321 0.1679 0.2042  1 P 1.55
O: 0.1679 0.8321 0.7958  1 P 1.55
O: 0.3357 0.1679 0.2042  1 P 1.55
P: 0.3333 0.6667 0.7205  4 O 1.53-1.55
P: 0.6667 0.3333 0.2795  4 O 1.53-1.55
Fe: 0.0000 0.0000 0.0000  6 O 2.00
Tb: 0.0000 0.0000 0.5000  6 O 2.45

Calculated values
- Energy: -7.461 eV/atom
- D(E_F): 0.00 states/eV per atom
- Space-group type: P-3m1 (164)